# 1
TeOs2Se, relaxed, DFT PBE; polymorph energy (0 for the lowest one) = 0 kJ/mol of formula units; formation energy without anion corrections = 35.7 kJ per mole of atoms; SG = Pmm2
1.0
2.816 0.000 0.000
0.000 3.596 0.000
0.000 0.000 8.496
Te Os Se
1 2 1
Cartesian
0.000 0.000 0.000
0.000 1.798 6.451
1.408 0.000 5.169
1.408 1.798 3.364

# 2
U2PS, relaxed, DFT PBE; polymorph energy (0 for the lowest one) = 0 kJ/mol of formula units; formation energy without anion corrections = -114.6 kJ per mole of atoms; SG = I4_1/amd
1.0
5.509 0.000 0.000
0.000 5.509 0.000
0.000 0.000 11.025
U P S
8 4 4
Cartesian
0.000 1.377 1.376
0.000 1.377 6.892
0.000 4.132 4.133
0.000 4.132 9.648
2.754 1.377 4.136
2.754 1.377 9.645
2.754 4.132 1.380
2.754 4.132 6.889
0.000 1.377 4.134
0.000 4.132 6.890
2.754 1.377 1.378
2.754 4.132 9.647
0.000 1.377 9.647
0.000 4.132 1.378
2.754 1.377 6.890
2.754 4.132 4.134

# 3
La2Pr3Nd6Sm, relaxed, DFT PBE; SG = C2/m; calculated total energy = -4.78 eV per atom
1.0
3.206 -5.555 0.000
3.206 5.555 0.000
-2.160 0.000 12.064
La Pr Nd Sm
2 3 6 1
Cartesian
3.206 3.702 0.000
3.206 -3.702 0.000
-1.080 0.000 6.032
2.126 1.850 6.032
2.126 -1.850 6.032
-0.014 1.847 9.047
1.066 0.000 3.017
-0.014 -1.847 9.047
4.266 1.847 3.017
3.185 0.000 9.047
4.266 -1.847 3.017
3.206 0.000 0.000